First-principles (PBE with a Hubbard U) data for an optimized crystal structure of Fe2Pt2O7, as listed in the Alexandria database.

Spin magnetization in Bohr magnetons per cell: 79.82
Total energy in eV/atom: -6.17
Density in Mg/m³: 8.6

a = 9.8301 Å, b = 9.8301 Å, c = 9.8301 Å
α = 90.00°, β = 90.00°, γ = 90.00°
Space group Fd-3m (No. 227, origin choice 2)
Symmetry-distinct sites (fractional):
Fe: 0.0000 0.0000 0.0000 x16
Pt: 0.0000 0.0000 0.5000 x16
O: 0.1029 0.3750 0.8750 x48
O: 0.1250 0.1250 0.1250 x8